{"formula": "MnAgW2", "functional": "PBE-GGA", "state": "relaxed", "dft_energy_ev_per_atom": -9.00, "de_polymorph_ev_per_atom": 0.151, "crystal_system": "monoclinic", "volume_a3_per_cell": 63, "e_form_ev_per_fu": 1.910, "lattice_angstrom": [[-1.160, -3.189, 2.847], [1.947, 0.784, 1.672], [-2.790, 3.542, 2.829]], "species": ["W", "Ag", "Mn", "W"], "frac_coords": [[0.000, 0.988, 0.988], [0.000, 0.581, 0.504], [0.500, 0.712, 0.769], [0.500, 0.219, 0.239]]}

***

{"formula": "Tc2NO", "functional": "PBE-GGA", "state": "relaxed", "dft_energy_ev_per_atom": -8.06, "raw_formation_energy_mev_per_atom": 442.3, "de_polymorph_ev_per_atom": 0.529, "crystal_system": "cubic", "volume_a3_per_cell": 40, "lattice_angstrom": [[0.000, 2.712, 2.712], [2.712, 0.000, 2.712], [2.712, 2.712, 0.000]], "species": ["Tc", "N", "Tc", "O"], "frac_coords": [[0.750, 0.750, 0.750], [0.000, 0.000, 0.000], [0.250, 0.250, 0.250], [0.500, 0.500, 0.500]]}

***

{"formula": "LiCa2LaCu", "functional": "PBE-GGA", "state": "relaxed", "dft_energy_ev_per_atom": -2.90, "crystal_system": "tetragonal", "volume_a3_per_cell": 179, "e_form_ev_per_fu": 0.436, "lattice_angstrom": [[5.706, 0.000, 0.000], [0.000, 5.706, 0.000], [0.000, 0.000, 5.484]], "species": ["Ca", "Cu", "Li", "Ca", "La"], "frac_coords": [[0.000, 0.500, 0.000], [0.000, 0.000, 0.000], [0.500, 0.500, 0.500], [0.500, 0.000, 0.000], [0.000, 0.000, 0.500]]}

***

{"formula": "PaNb2Ru", "functional": "PBE-GGA", "state": "relaxed", "dft_energy_ev_per_atom": -9.68, "crystal_system": "tetragonal", "volume_a3_per_cell": 74, "e_form_ev_per_fu": 0.193, "lattice_angstrom": [[3.348, 0.000, 0.000], [0.000, 3.348, 0.000], [0.000, 0.000, 6.633]], "species": ["Ru", "Nb", "Pa", "Nb"], "frac_coords": [[0.500, 0.500, 0.000], [0.000, 0.000, 0.765], [0.500, 0.500, 0.500], [0.000, 0.000, 0.235]]}

***

{"formula": "HoZnAu", "functional": "PBE-GGA", "state": "relaxed", "dft_energy_ev_per_atom": -3.59, "crystal_system": "tetragonal", "volume_a3_per_cell": 62, "e_form_ev_per_fu": -1.632, "lattice_angstrom": [[3.652, 0.000, 0.000], [0.000, 3.652, 0.000], [-1.826, -1.826, 4.626]], "species": ["Au", "Ho", "Zn"], "frac_coords": [[0.625, 0.625, 0.249], [0.951, 0.951, 0.903], [0.274, 0.274, 0.548]]}

***

{"formula": "Tb2HoPaSe4", "functional": "PBE-GGA", "state": "relaxed", "dft_energy_ev_per_atom": -6.26, "raw_formation_energy_mev_per_atom": -1600.9, "crystal_system": "monoclinic", "volume_a3_per_cell": 192, "lattice_angstrom": [[-3.893, -0.916, -0.542], [-0.989, 0.039, 7.035], [-1.179, 6.498, -2.512]], "species": ["Pa", "Se", "Se", "Se", "Se", "Tb", "Ho", "Tb"], "frac_coords": [[0.500, 0.500, 0.000], [0.000, 0.753, 0.251], [0.500, 0.753, 0.752], [0.500, 0.247, 0.248], [0.000, 0.247, 0.749], [0.500, 0.000, 0.500], [0.000, 0.000, 0.000], [0.000, 0.500, 0.500]]}

***

{"formula": "Ca3NdAl8", "functional": "PBE-GGA", "state": "relaxed", "dft_energy_ev_per_atom": -3.77, "de_polymorph_ev_per_atom": 0.000, "crystal_system": "trigonal", "volume_a3_per_cell": 258, "e_form_ev_per_fu": -4.492, "lattice_angstrom": [[-1.511, 5.111, 1.889], [-5.411, 1.067, 1.249], [-0.839, -0.739, 9.792]], "species": ["Al", "Al", "Al", "Al", "Ca", "Al", "Al", "Ca", "Nd", "Ca", "Al", "Al"], "frac_coords": [[0.188, 0.188, 0.437], [0.937, 0.937, 0.687], [0.438, 0.438, 0.188], [0.438, 0.937, 0.188], [0.000, 0.000, 0.999], [0.937, 0.438, 0.188], [0.937, 0.439, 0.687], [0.500, 0.500, 0.500], [0.875, 0.875, 0.376], [0.375, 0.375, 0.875], [0.688, 0.688, 0.937], [0.439, 0.937, 0.687]]}

***

{"formula": "Li2CuW", "functional": "PBE-GGA", "state": "relaxed", "dft_energy_ev_per_atom": -4.49, "de_polymorph_ev_per_atom": 0.468, "crystal_system": "tetragonal", "volume_a3_per_cell": 58, "e_form_ev_per_fu": 2.918, "lattice_angstrom": [[5.274, 0.011, 0.000], [2.883, 4.417, 0.000], [-4.079, -2.214, 2.506]], "species": ["W", "Li", "Li", "Cu"], "frac_coords": [[0.250, 0.750, 0.500], [0.000, 0.000, 0.000], [0.500, 0.500, 0.000], [0.750, 0.250, 0.500]]}